The following is a DFT calculation (GGA+U) of a relaxed structure of FeNiF3.

Raw total energy   -3.73 eV/atom
E above lowest polymorph   171 meV/atom
Crystal system   cubic
Space-group type   Pm-3m, No. 221

Unit cell a=3.9248 b=3.9248 c=3.9248 alpha=90.00 beta=90.00 gamma=90.00
Sites, in units of the cell vectors:
Fe 0.0000 0.0000 0.0000
Ni 0.5000 0.5000 0.5000
F 0.0000 0.5000 0.5000
F 0.5000 0.0000 0.5000
F 0.5000 0.5000 0.0000